(one)
This record from Alexandria describes crystalline BaMn2Fe at its relaxed geometry. The functional is PBE.

Unit cell a=4.9543 b=4.9543 c=4.9543 alpha=60.00 beta=60.00 gamma=60.00
With the nearest neighbours (Å) after each atom.
Atoms (fractional coordinates):
Ba 0.0000 0.0000 0.0000  4 Mn 3.03, 4 Fe 3.03
Mn 0.5000 0.5000 0.5000  4 Mn 3.03, 4 Fe 3.03
Mn 0.7500 0.7500 0.7500  4 Ba 3.03, 4 Mn 3.03
Fe 0.2500 0.2500 0.2500  4 Ba 3.03, 4 Mn 3.03

Properties
Crystal system: cubic
Calculated density: 5.85 Mg/m³
Fermi-level density of states: 6.25 states/eV/cell
M_tot: 10.39 Bohr magnetons per cell

---

(two)
This record from Alexandria describes crystalline BaMn2Fe at its relaxed geometry. The functional is PBE.

Unit cell a=4.2260 b=4.2690 c=4.3654 alpha=90.00 beta=90.00 gamma=90.00
With the nearest neighbours (Å) after each atom.
Atoms (fractional coordinates):
Ba 0.0000 0.0000 0.0000  4 Fe 3.00, 8 Mn 3.04-3.05
Mn 0.0000 0.5000 0.5000  4 Mn 3.00, 4 Fe 3.04, 4 Ba 3.05
Mn 0.5000 0.0000 0.5000  4 Mn 3.00, 4 Ba 3.04, 4 Fe 3.05
Fe 0.5000 0.5000 0.0000  4 Ba 3.00, 8 Mn 3.04-3.05

Properties
Crystal system: orthorhombic
Calculated density: 6.39 Mg/m³
Fermi-level density of states: 2.33 states/eV/cell
M_tot: 9.47 Bohr magnetons per cell

---

Of them, (two) has the highest stability.

---

(one)
This record from Alexandria describes crystalline BaMn2Fe at its relaxed geometry. The functional is PBE.

Unit cell a=6.0280 b=6.0280 c=6.0280 alpha=149.94 beta=127.34 gamma=61.84
With the nearest neighbours (Å) after each atom.
Atoms (fractional coordinates):
Ba 0.0000 0.0000 0.0000  4 Fe 3.10, 2 Ba 3.13, 4 Mn 3.37
Mn 0.3016 0.8016 0.5000  2 Fe 2.58
Mn 0.6984 0.1984 0.5000  2 Fe 2.58
Fe 0.5000 0.5000 0.0000  4 Mn 2.58

Properties
Crystal system: orthorhombic
Calculated density: 5.82 Mg/m³
Fermi-level density of states: 6.20 states/eV/cell
M_tot: 5.76 Bohr magnetons per cell

---

(two)
This record from Alexandria describes crystalline BaMn2Fe at its relaxed geometry. The functional is PBE.

Unit cell a=4.1892 b=6.6219 c=6.6219 alpha=29.07 beta=90.00 gamma=90.00
With the nearest neighbours (Å) after each atom.
Atoms (fractional coordinates):
Ba 0.0000 0.0000 0.0000  4 Fe 3.29, 3 Mn 3.29-3.53, 2 Ba 3.32
Mn 0.0000 0.7430 0.7430  2 Fe 2.41
Mn 0.5000 0.2910 0.2910  2 Fe 2.46, 4 Mn 2.74
Fe 0.5000 0.6499 0.6499  4 Mn 2.41-2.46

Properties
Crystal system: orthorhombic
Calculated density: 5.64 Mg/m³
Fermi-level density of states: 3.72 states/eV/cell
M_tot: 9.46 Bohr magnetons per cell

---

Of them, (two) has the highest stability.

---

(one)
This record from Alexandria describes crystalline BaMn2Fe at its relaxed geometry. The functional is PBE.

Unit cell a=3.9599 b=3.9599 c=6.3291 alpha=108.15 beta=108.15 gamma=60.03
With the nearest neighbours (Å) after each atom.
Atoms (fractional coordinates):
Ba 0.0000 0.0000 0.0000  8 Mn 3.34-3.44, 6 Fe 3.73-3.74
Mn 0.1884 0.1884 0.5654  3 Fe 2.32, 3 Mn 2.41
Mn 0.8116 0.8116 0.4346  3 Fe 2.32, 3 Mn 2.41
Fe 0.5000 0.5000 0.5000  6 Mn 2.32

Properties
Crystal system: monoclinic
Calculated density: 6.27 Mg/m³
Fermi-level density of states: 4.91 states/eV/cell
M_tot: 1.20 Bohr magnetons per cell

---

(two)
This record from Alexandria describes crystalline BaMn2Fe at its relaxed geometry. The functional is PBE.

Unit cell a=3.1048 b=3.0976 c=8.0482 alpha=90.00 beta=90.06 gamma=90.00
With the nearest neighbours (Å) after each atom.
Atoms (fractional coordinates):
Ba 0.0000 0.0000 0.0000  4 Ba 3.10
Mn 0.4994 0.5000 0.3403  4 Fe 2.54, 1 Mn 2.57
Mn 0.5006 0.5000 0.6597  4 Fe 2.54, 1 Mn 2.57
Fe 0.0000 0.0000 0.5000  8 Mn 2.54

Properties
Crystal system: monoclinic
Calculated density: 6.50 Mg/m³
Fermi-level density of states: 4.44 states/eV/cell
M_tot: 7.69 Bohr magnetons per cell

---

Of them, (one) has the highest stability.

---

(one)
This record from Alexandria describes crystalline BaMn2Fe at its relaxed geometry. The functional is PBE.

Unit cell a=8.4086 b=8.4086 c=8.4086 alpha=144.20 beta=144.20 gamma=51.54
With the nearest neighbours (Å) after each atom.
Atoms (fractional coordinates):
Ba 0.3750 0.6250 0.7500  8 Mn 3.45, 4 Fe 3.66
Ba 0.6250 0.3750 0.2500  8 Mn 3.45, 4 Fe 3.66
Mn 0.0000 0.0000 0.0000  2 Fe 2.29
Mn 0.0000 0.0000 0.5000  2 Fe 2.29
Mn 0.0000 0.5000 0.0000  2 Fe 2.29
Mn 0.5000 0.0000 0.5000  2 Fe 2.29
Fe 0.1250 0.8750 0.2500  4 Mn 2.29
Fe 0.8750 0.1250 0.7500  4 Mn 2.29

Properties
Crystal system: tetragonal
Calculated density: 4.97 Mg/m³
Fermi-level density of states: 10.37 states/eV/cell
M_tot: 9.49 Bohr magnetons per cell

---

(two)
This record from Alexandria describes crystalline BaMn2Fe at its relaxed geometry. The functional is PBE.

Unit cell a=5.0328 b=5.0328 c=3.2796 alpha=90.00 beta=90.00 gamma=108.01
With the nearest neighbours (Å) after each atom.
Atoms (fractional coordinates):
Ba 0.0000 0.0000 0.0000  2 Fe 2.96, 8 Mn 3.00, 2 Ba 3.28
Mn 0.0000 0.5000 0.5000  4 Mn 2.96-3.28, 4 Ba 3.00, 4 Fe 3.00
Mn 0.5000 0.0000 0.5000  4 Mn 2.96-3.28, 4 Ba 3.00, 4 Fe 3.00
Fe 0.5000 0.5000 0.0000  2 Ba 2.96, 8 Mn 3.00, 2 Fe 3.28

Properties
Crystal system: orthorhombic
Calculated density: 6.37 Mg/m³
Fermi-level density of states: 4.21 states/eV/cell
M_tot: 9.77 Bohr magnetons per cell

---

(three)
This record from Alexandria describes crystalline BaMn2Fe at its relaxed geometry. The functional is PBE.

Unit cell a=5.2502 b=5.2502 c=5.2502 alpha=131.02 beta=131.02 gamma=71.78
With the nearest neighbours (Å) after each atom.
Atoms (fractional coordinates):
Ba 0.0000 0.0000 0.0000  8 Mn 3.04, 4 Fe 3.08
Mn 0.2500 0.7500 0.5000  4 Ba 3.04, 4 Fe 3.04, 4 Mn 3.08
Mn 0.7500 0.2500 0.5000  4 Ba 3.04, 4 Fe 3.04, 4 Mn 3.08
Fe 0.5000 0.5000 0.0000  8 Mn 3.04, 4 Ba 3.08

Properties
Crystal system: tetragonal
Calculated density: 6.25 Mg/m³
Fermi-level density of states: 3.27 states/eV/cell
M_tot: 9.96 Bohr magnetons per cell

---

Of them, (one) has the highest stability.

---

(one)
This record from Alexandria describes crystalline BaMn2Fe at its relaxed geometry. The functional is PBE.

Unit cell a=3.3592 b=3.3592 c=7.3936 alpha=90.00 beta=90.00 gamma=90.00
With the nearest neighbours (Å) after each atom.
Atoms (fractional coordinates):
Ba 0.0000 0.0000 0.0000  5 Mn 3.29-3.54, 4 Fe 3.34, 4 Ba 3.36
Mn 0.0000 0.0000 0.4456  4 Fe 2.56, 4 Mn 2.79
Mn 0.5000 0.5000 0.6442  1 Fe 2.42
Fe 0.5000 0.5000 0.3170  5 Mn 2.42-2.56

Properties
Crystal system: tetragonal
Calculated density: 6.03 Mg/m³
Fermi-level density of states: 4.64 states/eV/cell
M_tot: 9.74 Bohr magnetons per cell

---

(two)
This record from Alexandria describes crystalline BaMn2Fe at its relaxed geometry. The functional is PBE.

Unit cell a=4.1305 b=4.1305 c=6.4106 alpha=108.86 beta=108.86 gamma=60.02
With the nearest neighbours (Å) after each atom.
Atoms (fractional coordinates):
Ba 0.0000 0.0000 0.0000  4 Fe 3.43-3.47, 7 Mn 3.44-3.71
Mn 0.5076 0.5076 0.5224  3 Fe 2.41, 3 Mn 2.46
Mn 0.8073 0.8073 0.4213  3 Mn 2.46, 3 Fe 2.56
Fe 0.1924 0.1924 0.5765  6 Mn 2.41-2.56

Properties
Crystal system: monoclinic
Calculated density: 5.73 Mg/m³
Fermi-level density of states: 4.63 states/eV/cell
M_tot: 2.63 Bohr magnetons per cell

---

(three)
This record from Alexandria describes crystalline BaMn2Fe at its relaxed geometry. The functional is PBE.

Unit cell a=5.2430 b=5.2430 c=5.2430 alpha=130.63 beta=112.27 gamma=88.27
With the nearest neighbours (Å) after each atom.
Atoms (fractional coordinates):
Ba 0.0000 0.0000 0.0000  4 Fe 3.17-3.35, 5 Mn 3.18-3.46
Mn 0.4600 0.4600 0.0000  2 Fe 2.38
Mn 0.6664 0.1664 0.5000  1 Fe 2.48, 2 Mn 2.68
Fe 0.3363 0.8363 0.5000  3 Mn 2.38-2.48

Properties
Crystal system: orthorhombic
Calculated density: 5.23 Mg/m³
Fermi-level density of states: 4.53 states/eV/cell
M_tot: 9.72 Bohr magnetons per cell

---

(four)
This record from Alexandria describes crystalline BaMn2Fe at its relaxed geometry. The functional is PBE.

Unit cell a=4.4619 b=4.4619 c=4.4619 alpha=60.00 beta=60.00 gamma=60.00
With the nearest neighbours (Å) after each atom.
Atoms (fractional coordinates):
Ba 0.0000 0.0000 0.0000  8 Mn 2.73
Mn 0.2500 0.2500 0.2500  4 Ba 2.73, 4 Fe 2.73
Mn 0.7500 0.7500 0.7500  4 Ba 2.73, 4 Fe 2.73
Fe 0.5000 0.5000 0.5000  8 Mn 2.73

Properties
Crystal system: cubic
Calculated density: 8.01 Mg/m³
Fermi-level density of states: 19.97 states/eV/cell
M_tot: 0.00 Bohr magnetons per cell

---

Of them, (two) has the highest stability.

---

(one)
This record from Alexandria describes crystalline Ba2Mn2Fe at its relaxed geometry. The functional is PBE.

Unit cell a=9.3228 b=9.3228 c=3.5825 alpha=90.00 beta=90.00 gamma=90.00
With the nearest neighbours (Å) after each atom.
Atoms (fractional coordinates):
Ba 0.1908 0.3092 0.0000  6 Mn 3.31-3.35, 2 Fe 3.39, 2 Ba 3.58
Ba 0.3092 0.8092 0.0000  6 Mn 3.31-3.35, 2 Fe 3.39, 2 Ba 3.58
Ba 0.6908 0.1908 0.0000  6 Mn 3.31-3.35, 2 Fe 3.39, 2 Ba 3.58
Ba 0.8092 0.6908 0.0000  6 Mn 3.31-3.35, 2 Fe 3.39, 2 Ba 3.58
Mn 0.0978 0.5978 0.5000  1 Mn 2.58
Mn 0.4022 0.0978 0.5000  1 Mn 2.58
Mn 0.5978 0.9022 0.5000  1 Mn 2.58
Mn 0.9022 0.4022 0.5000  1 Mn 2.58
Fe 0.0000 0.0000 0.0000  4 Ba 3.39, 2 Fe 3.58
Fe 0.5000 0.5000 0.0000  4 Ba 3.39, 2 Fe 3.58

Properties
Crystal system: tetragonal
Calculated density: 4.70 Mg/m³
Fermi-level density of states: 7.97 states/eV/cell
M_tot: 20.68 Bohr magnetons per cell

---

(two)
This record from Alexandria describes crystalline Ba2Mn2Fe at its relaxed geometry. The functional is PBE.

Unit cell a=10.8836 b=10.8836 c=10.8836 alpha=162.56 beta=162.56 gamma=24.76
With the nearest neighbours (Å) after each atom.
Atoms (fractional coordinates):
Ba 0.1116 0.1116 0.0000  4 Ba 3.30, 4 Fe 3.33, 4 Mn 3.37
Ba 0.8884 0.8884 0.0000  4 Ba 3.30, 4 Fe 3.33, 4 Mn 3.37
Mn 0.2500 0.7500 0.5000  4 Mn 2.33
Mn 0.7500 0.2500 0.5000  4 Mn 2.33
Fe 0.5000 0.5000 0.0000  4 Fe 3.30, 8 Ba 3.33

Properties
Crystal system: tetragonal
Calculated density: 6.31 Mg/m³
Fermi-level density of states: 6.06 states/eV/cell
M_tot: 3.47 Bohr magnetons per cell

---

Of them, (two) has the highest stability.